No. 1
The following is a GGA-PBE calculation of a geometry-optimized MnPd2Pt8 structure, from Alexandria.

## Properties
DOS(E_F) (states/eV/cell): 34.44
Energy of formation from the pure elements (meV per atom): -151
Magnetization (μB per formula unit): 4.75
Theoretical density (g/cm³): 17.9

The structure in CIF format:
```
data_MnPd2Pt8
_chemical_formula_sum 'Mn2 Pd4 Pt16'
_cell_length_a 14.274
_cell_length_b 3.935
_cell_length_c 6.255
_cell_angle_alpha 90.00
_cell_angle_beta 105.14
_cell_angle_gamma 90.00
_space_group_name_H-M_alt 'C 1 2/m 1'
_space_group_IT_number 12
loop_
_space_group_symop_operation_xyz
'x,y,z'
'-x,-y,-z'
'-x,y,-z'
'x,-y,z'
'x+1/2,y+1/2,z'
'-x+1/2,-y+1/2,-z'
'-x+1/2,y+1/2,-z'
'x+1/2,-y+1/2,z'
loop_
_atom_site_label
_atom_site_fract_x
_atom_site_fract_y
_atom_site_fract_z
Mn1 0.000 0.000 0.000
Pd1 0.224 0.500 0.633
Pt1 0.045 0.500 0.728
Pt2 0.090 0.000 0.441
Pt3 0.133 0.500 0.175
Pt4 0.180 0.000 0.912
```

***

No. 2
The following is a GGA-PBE calculation of a geometry-optimized Mn2Pd2Pt5 structure, from Alexandria.

## Properties
DOS(E_F) (states/eV/cell): 30.56
Energy of formation from the pure elements (meV per atom): -56
Magnetization (μB per formula unit): 9.16
Theoretical density (g/cm³): 14.5

The structure in CIF format:
```
data_Mn2Pd2Pt5
_chemical_formula_sum 'Mn8 Pd8 Pt20'
_cell_length_a 12.033
_cell_length_b 9.278
_cell_length_c 5.326
_cell_angle_alpha 90.00
_cell_angle_beta 90.00
_cell_angle_gamma 90.00
_space_group_name_H-M_alt 'I m a 2'
_space_group_IT_number 46
loop_
_space_group_symop_operation_xyz
'x,y,z'
'-x,-y,z'
'-x+1/2,y,z'
'x+1/2,-y,z'
'x+1/2,y+1/2,z+1/2'
'-x+1/2,-y+1/2,z+1/2'
'-x,y+1/2,z+1/2'
'x,-y+1/2,z+1/2'
loop_
_atom_site_label
_atom_site_fract_x
_atom_site_fract_y
_atom_site_fract_z
Mn1 0.000 0.000 0.000
Mn2 0.250 0.004 0.852
Pd1 0.119 0.004 0.441
Pt1 0.056 0.733 0.280
Pt2 0.141 0.217 0.063
Pt3 0.250 0.744 0.038
```

***

No. 3
The following is a GGA-PBE calculation of a geometry-optimized Mn2PdPt9 structure, from Alexandria.

## Properties
DOS(E_F) (states/eV/cell): 14.29
Energy of formation from the pure elements (meV per atom): -254
Magnetization (μB per formula unit): 9.12
Theoretical density (g/cm³): 17.8

The structure in CIF format:
```
data_Mn2PdPt9
_chemical_formula_sum 'Mn2 Pd1 Pt9'
_cell_length_a 3.934
_cell_length_b 3.934
_cell_length_c 11.869
_cell_angle_alpha 90.00
_cell_angle_beta 90.00
_cell_angle_gamma 90.00
_space_group_name_H-M_alt 'P 4/m m m'
_space_group_IT_number 123
_space_group_name_Hall '-P 4 2'
loop_
_atom_site_label
_atom_site_fract_x
_atom_site_fract_y
_atom_site_fract_z
Mn1 0.000 0.000 0.166
Pd1 0.000 0.000 0.500
Pt1 0.000 0.500 0.000
Pt2 0.000 0.500 0.329
Pt3 0.500 0.500 0.164
Pt4 0.500 0.500 0.500
```

***

No. 4
The following is a GGA-PBE calculation of a geometry-optimized MnPd4Pt15 structure, from Alexandria.

## Properties
DOS(E_F) (states/eV/cell): 45.90
Energy of formation from the pure elements (meV per atom): -30
Magnetization (μB per formula unit): 1.13
Theoretical density (g/cm³): 18.4

The structure in CIF format:
```
data_MnPd4Pt15
_chemical_formula_sum 'Mn1 Pd4 Pt15'
_cell_length_a 3.936
_cell_length_b 3.936
_cell_length_c 19.829
_cell_angle_alpha 90.00
_cell_angle_beta 90.00
_cell_angle_gamma 90.00
_space_group_name_H-M_alt 'P 4/m m m'
_space_group_IT_number 123
_space_group_name_Hall '-P 4 2'
loop_
_atom_site_label
_atom_site_fract_x
_atom_site_fract_y
_atom_site_fract_z
Mn1 0.000 0.000 0.000
Pd1 0.000 0.000 0.196
Pd2 0.000 0.000 0.399
Pt1 0.000 0.500 0.094
Pt2 0.000 0.500 0.298
Pt3 0.000 0.500 0.500
Pt4 0.500 0.500 0.000
Pt5 0.500 0.500 0.196
Pt6 0.500 0.500 0.399
```

***

No. 5
The following is a GGA-PBE calculation of a geometry-optimized MnPd6Pt structure, from Alexandria.

## Properties
DOS(E_F) (states/eV/cell): 33.24
Energy of formation from the pure elements (meV per atom): -105
Magnetization (μB per formula unit): 4.89
Theoretical density (g/cm³): 12.0

The structure in CIF format:
```
data_MnPd6Pt
_chemical_formula_sum 'Mn2 Pd12 Pt2'
_cell_length_a 7.856
_cell_length_b 7.866
_cell_length_c 3.964
_cell_angle_alpha 90.00
_cell_angle_beta 90.00
_cell_angle_gamma 90.00
_space_group_name_H-M_alt 'C m m m'
_space_group_IT_number 65
_space_group_name_Hall '-C 2 2'
loop_
_atom_site_label
_atom_site_fract_x
_atom_site_fract_y
_atom_site_fract_z
Mn1 0.000 0.000 0.000
Pd1 0.000 0.248 0.500
Pd2 0.248 0.000 0.500
Pd3 0.250 0.250 0.000
Pt1 0.000 0.500 0.000
```

***

No. 6
The following is a GGA-PBE calculation of a geometry-optimized MnPdPt3 structure, from Alexandria.

## Properties
DOS(E_F) (states/eV/cell): 8.29
Energy of formation from the pure elements (meV per atom): 1317
Magnetization (μB per formula unit): 5.20
Theoretical density (g/cm³): 11.0

The structure in CIF format:
```
data_MnPdPt3
_chemical_formula_sum 'Mn1 Pd1 Pt3'
_cell_length_a 4.827
_cell_length_b 4.827
_cell_length_c 4.827
_cell_angle_alpha 90.00
_cell_angle_beta 90.00
_cell_angle_gamma 90.00
_space_group_name_H-M_alt 'P m -3 m'
_space_group_IT_number 221
_space_group_name_Hall '-P 4 2 3'
loop_
_atom_site_label
_atom_site_fract_x
_atom_site_fract_y
_atom_site_fract_z
Mn1 0.000 0.000 0.000
Pd1 0.500 0.500 0.500
Pt1 0.000 0.500 0.500
```